# Pm2NdRh, relaxed, DFT PBE
# Calculated total energy = -5.5291 eV/atom
# Formation enthalpy at 0 K = -0.124 eV per atom
# E above lowest polymorph = 313 meV per atom
# Calculated volume = 32.962 A^3/atom
data_Pm2NdRh
_space_group_name_H-M_alt 'P 1'
_space_group_IT_number 1
_cell_length_a 3.779
_cell_length_b 3.779
_cell_length_c 31.976
_cell_angle_alpha 90.00
_cell_angle_beta 90.00
_cell_angle_gamma 120.00
loop_
_space_group_symop_operation_xyz
'x,y,z'
loop_
_atom_site_label
_atom_site_type_symbol
_atom_site_fract_x
_atom_site_fract_y
_atom_site_fract_z
Pm1 Pm 0.000 0.000 0.112
Pm2 Pm 0.000 0.000 0.888
Pm3 Pm 0.333 0.667 0.555
Pm4 Pm 0.333 0.667 0.779
Pm5 Pm 0.667 0.333 0.221
Pm6 Pm 0.667 0.333 0.445
Nd1 Nd 0.000 0.000 0.000
Nd2 Nd 0.333 0.667 0.667
Nd3 Nd 0.667 0.333 0.333
Rh1 Rh 0.000 0.000 0.500
Rh2 Rh 0.333 0.667 0.167
Rh3 Rh 0.667 0.333 0.833

# Pm5Nd2Rh4, relaxed, DFT PBE
# Calculated total energy = -6.0461 eV/atom
# Formation enthalpy at 0 K = -0.347 eV per atom
# Calculated volume = 28.991 A^3/atom
data_Pm5Nd2Rh4
_space_group_name_H-M_alt 'P 1'
_space_group_IT_number 1
_cell_length_a 12.423
_cell_length_b 12.423
_cell_length_c 6.987
_cell_angle_alpha 93.57
_cell_angle_beta 93.57
_cell_angle_gamma 17.24
loop_
_space_group_symop_operation_xyz
'x,y,z'
loop_
_atom_site_label
_atom_site_type_symbol
_atom_site_fract_x
_atom_site_fract_y
_atom_site_fract_z
Pm1 Pm 0.000 0.000 0.000
Pm2 Pm 0.269 0.269 0.283
Pm3 Pm 0.366 0.366 0.821
Pm4 Pm 0.634 0.634 0.179
Pm5 Pm 0.731 0.731 0.717
Nd1 Nd 0.414 0.414 0.351
Nd2 Nd 0.586 0.586 0.649
Rh1 Rh 0.169 0.169 0.479
Rh2 Rh 0.473 0.473 0.703
Rh3 Rh 0.527 0.527 0.297
Rh4 Rh 0.831 0.831 0.521

# Pm3NdRh3, relaxed, DFT PBE
# Calculated total energy = -6.4362 eV/atom
# Formation enthalpy at 0 K = -0.568 eV per atom
# E above lowest polymorph = 37 meV per atom
# Calculated volume = 25.162 A^3/atom
data_Pm3NdRh3
_space_group_name_H-M_alt 'P 1'
_space_group_IT_number 1
_cell_length_a 7.046
_cell_length_b 7.046
_cell_length_c 7.150
_cell_angle_alpha 90.43
_cell_angle_beta 90.43
_cell_angle_gamma 97.03
loop_
_space_group_symop_operation_xyz
'x,y,z'
loop_
_atom_site_label
_atom_site_type_symbol
_atom_site_fract_x
_atom_site_fract_y
_atom_site_fract_z
Pm1 Pm 0.181 0.819 0.000
Pm2 Pm 0.245 0.755 0.500
Pm3 Pm 0.328 0.328 0.125
Pm4 Pm 0.672 0.672 0.875
Pm5 Pm 0.755 0.245 0.500
Pm6 Pm 0.819 0.181 0.000
Nd1 Nd 0.253 0.253 0.625
Nd2 Nd 0.747 0.747 0.375
Rh1 Rh 0.000 0.497 0.229
Rh2 Rh 0.000 0.503 0.771
Rh3 Rh 0.061 0.061 0.302
Rh4 Rh 0.497 0.000 0.229
Rh5 Rh 0.503 0.000 0.771
Rh6 Rh 0.939 0.939 0.698

# Pm2Nd5Rh4, relaxed, DFT PBE
# Calculated total energy = -6.0422 eV/atom
# Formation enthalpy at 0 K = -0.338 eV per atom
# Calculated volume = 29.216 A^3/atom
data_Pm2Nd5Rh4
_space_group_name_H-M_alt 'P 1'
_space_group_IT_number 1
_cell_length_a 12.438
_cell_length_b 12.438
_cell_length_c 7.006
_cell_angle_alpha 93.09
_cell_angle_beta 93.09
_cell_angle_gamma 17.27
loop_
_space_group_symop_operation_xyz
'x,y,z'
loop_
_atom_site_label
_atom_site_type_symbol
_atom_site_fract_x
_atom_site_fract_y
_atom_site_fract_z
Pm1 Pm 0.085 0.085 0.145
Pm2 Pm 0.915 0.915 0.855
Nd1 Nd 0.133 0.133 0.677
Nd2 Nd 0.231 0.231 0.219
Nd3 Nd 0.500 0.500 0.500
Nd4 Nd 0.769 0.769 0.781
Nd5 Nd 0.867 0.867 0.323
Rh1 Rh 0.026 0.026 0.798
Rh2 Rh 0.332 0.332 0.021
Rh3 Rh 0.668 0.668 0.979
Rh4 Rh 0.974 0.974 0.202

formation enthalpy at 0 K of number 1 (Pm2NdRh)? -0.124 eV per atom

Which of these has the lowest calculated total energy? Pm3NdRh3

Among the records above, which one has the highest calculated total energy? Pm2NdRh